The following is a PBE-GGA calculation of a relaxed structure of Mo2RuSe, from Alexandria.

```
Mo2RuSe
1.0
3.1018 0.0000 0.0000
0.0000 4.3832 0.0000
0.0000 0.0000 4.5346
Mo Ru Se
2 1 1
Direct
0.0000 0.0000 0.0000
0.5000 0.5000 0.0000
0.5000 0.0000 0.5000
0.0000 0.5000 0.5000
```

Values from the calculation:
Crystal system: orthorhombic
Density of states at the Fermi level: 0.688 states/eV/atom
Space-group type: No. 47
Raw total energy: -8.34 eV/atom